Compound: Pm2MgS4
Source: the Alexandria database
Functional: GGA-PBE
Structure: optimized geometry

The structure in POSCAR format:
```
Pm2MgS4
1.0
7.3605 -0.1316 -0.1099
-0.3074 8.7451 -0.2123
-1.4532 -2.4199 12.0943
Pm Mg S
8 4 16
direct
0.8775 0.3216 0.6520
0.1225 0.6784 0.3480
0.7544 0.1118 0.9803
0.2456 0.8882 0.0197
0.5995 0.3565 0.2744
0.4005 0.6435 0.7256
0.6494 0.9524 0.3648
0.3506 0.0476 0.6352
0.8732 0.8070 0.6883
0.1268 0.1930 0.3117
0.7726 0.5740 0.9855
0.2274 0.4260 0.0145
0.9185 0.3409 0.8798
0.0815 0.6591 0.1202
0.8959 0.8225 0.8890
0.1041 0.1775 0.1110
0.8586 0.2332 0.4113
0.1414 0.7668 0.5887
0.7572 0.6625 0.3362
0.2428 0.3375 0.6638
0.7116 0.0161 0.6079
0.2884 0.9839 0.3921
0.6855 0.5623 0.6198
0.3145 0.4377 0.3802
0.5863 0.0239 0.1594
0.4137 0.9761 0.8406
0.5729 0.3752 0.0622
0.4271 0.6248 0.9378
```

Summary:
symmetry = P-1
polymorph energy (0 for the lowest one) = 13.70 kJ/mol of atoms
formation energy from raw total energies = -165 kJ/mol of atoms
magnetic moment = 0.00 μB per cell

***

Compound: Pm3MgSc3S8
Source: the Alexandria database
Functional: GGA-PBE
Structure: optimized geometry

The structure in POSCAR format:
```
Pm3MgSc3S8
1.0
7.6142 0.0000 0.0000
-3.8071 6.5950 -0.0234
0.0000 -4.3747 6.4111
Pm Mg Sc S
3 1 3 8
direct
0.0000 0.0000 0.0000
0.0000 0.5000 0.0000
0.5000 0.5000 0.0000
0.0000 0.0000 0.5000
0.5000 0.0000 0.5000
0.5000 0.5000 0.5000
0.0000 0.5000 0.5000
0.2588 0.5176 0.2764
0.7412 0.4824 0.7236
0.7574 0.5147 0.2747
0.2426 0.4853 0.7253
0.7573 0.0173 0.2747
0.2427 0.9827 0.7253
0.2600 0.0174 0.2747
0.7400 0.9826 0.7253
```

Summary:
symmetry = R-3m
formation energy from raw total energies = -184 kJ/mol of atoms
magnetic moment = 0.00 μB per cell

***

Compound: Tb3Pm3MgS8
Source: the Alexandria database
Functional: GGA-PBE
Structure: optimized geometry

The structure in POSCAR format:
```
Tb3Pm3MgS8
1.0
7.8839 0.0000 0.0000
-3.9419 6.8275 -0.0238
0.0000 -4.5290 6.5257
Tb Pm Mg S
3 3 1 8
direct
0.5000 0.0000 0.5000
0.5000 0.5000 0.5000
0.0000 0.5000 0.5000
0.0000 0.0000 0.0000
0.0000 0.5000 0.0000
0.5000 0.5000 0.0000
0.0000 0.0000 0.5000
0.2532 0.5064 0.2596
0.7468 0.4936 0.7404
0.7613 0.5226 0.2673
0.2387 0.4774 0.7327
0.7613 0.0060 0.2672
0.2387 0.9940 0.7328
0.2447 0.0060 0.2672
0.7553 0.9940 0.7328
```

Summary:
symmetry = R-3m
formation energy from raw total energies = -191 kJ/mol of atoms
magnetic moment = 0.00 μB per cell

***

Compound: Pm3Tm3MgS8
Source: the Alexandria database
Functional: GGA-PBE
Structure: optimized geometry

The structure in POSCAR format:
```
Pm3Tm3MgS8
1.0
-1.6481 -3.2769 6.8579
6.7848 -1.4964 -3.4945
-1.2818 7.1446 3.1058
Pm Tm Mg S
3 3 1 8
direct
0.0000 0.0000 0.0000
0.0000 0.5000 0.0000
0.5000 0.5000 0.0000
0.5000 0.0000 0.5000
0.5000 0.5000 0.5000
0.0000 0.5000 0.5000
0.0000 0.0000 0.5000
0.2556 0.5113 0.2670
0.7444 0.4887 0.7330
0.7600 0.5200 0.2708
0.2400 0.4800 0.7292
0.7599 0.0109 0.2708
0.2401 0.9891 0.7292
0.2509 0.0109 0.2708
0.7491 0.9891 0.7292
```

Summary:
symmetry = R-3m
formation energy from raw total energies = -190 kJ/mol of atoms
magnetic moment = 0.00 μB per cell

***

Compound: PmY4MgS8
Source: the Alexandria database
Functional: GGA-PBE
Structure: optimized geometry

The structure in POSCAR format:
```
PmY4MgS8
1.0
8.0121 0.0000 0.0000
4.0060 6.9387 0.0000
4.0060 2.3129 6.5750
Pm Y Mg S
1 4 1 8
direct
0.0024 0.0024 0.9927
0.6255 0.6255 0.1234
0.0028 0.4917 0.5028
0.4917 0.0028 0.5028
0.0028 0.0028 0.5028
0.3754 0.3754 0.8738
0.2500 0.7592 0.7408
0.7592 0.2500 0.7408
0.2500 0.2500 0.7408
0.2465 0.2465 0.2605
0.7539 0.2272 0.2650
0.2272 0.7539 0.2650
0.7539 0.7539 0.2650
0.7587 0.7587 0.7238
```

Summary:
symmetry = R3m
formation energy from raw total energies = -185 kJ/mol of atoms
magnetic moment = 0.00 μB per cell

***

Compound: Pm3Y3MgS8
Source: the Alexandria database
Functional: GGA-PBE
Structure: optimized geometry

The structure in POSCAR format:
```
Pm3Y3MgS8
1.0
7.8706 -0.0001 0.0000
-3.9354 6.8162 -0.0238
0.0000 -4.5214 6.5216
Pm Y Mg S
3 3 1 8
direct
0.0000 0.0000 0.0000
0.0000 0.5000 0.0000
0.5000 0.5000 0.0000
0.5000 0.0000 0.5000
0.5000 0.5000 0.5000
0.0000 0.5000 0.5000
0.0000 0.0000 0.5000
0.2535 0.5070 0.2606
0.7465 0.4930 0.7394
0.7611 0.5223 0.2677
0.2389 0.4777 0.7323
0.7611 0.0066 0.2677
0.2389 0.9934 0.7323
0.2455 0.0066 0.2677
0.7545 0.9934 0.7323
```

Summary:
symmetry = R-3m
formation energy from raw total energies = -191 kJ/mol of atoms
magnetic moment = 0.00 μB per cell

***

Compound: PmMgSb
Source: the Alexandria database
Functional: GGA-PBE
Structure: optimized geometry

The structure in POSCAR format:
```
PmMgSb
1.0
4.1150 0.0000 0.0000
0.0000 4.7329 0.0000
0.0000 -2.3664 4.0988
Sb Mg Pm
1 1 1
direct
0.1673 0.3333 0.6667
0.1659 0.0000 0.0000
0.6668 0.6667 0.3333
```

Summary:
symmetry = P3m1
polymorph energy (0 for the lowest one) = 0.00 kJ/mol of atoms
formation energy from raw total energies = -60 kJ/mol of atoms
magnetic moment = 0.00 μB per cell

***

Compound: PmMgSb3
Source: the Alexandria database
Functional: GGA-PBE
Structure: optimized geometry

The structure in POSCAR format:
```
PmMgSb3
1.0
6.3652 0.0000 0.0000
0.0000 6.2269 0.0000
0.0000 0.0000 13.6924
Pm Mg Sb
4 4 12
direct
0.7500 0.4945 0.6784
0.2500 0.5055 0.3216
0.7500 0.9945 0.3216
0.2500 0.0055 0.6784
0.5000 0.2500 0.1054
0.0000 0.7500 0.8946
0.5000 0.7500 0.8946
0.0000 0.2500 0.1054
0.0000 0.2500 0.4980
0.5000 0.7500 0.5020
0.0000 0.7500 0.5020
0.5000 0.2500 0.4980
0.2500 0.1840 0.9191
0.7500 0.8160 0.0809
0.2500 0.6840 0.0809
0.7500 0.3160 0.9191
0.2500 0.4981 0.7479
0.7500 0.5019 0.2521
0.2500 0.9981 0.2521
0.7500 0.0019 0.7479
```

Summary:
symmetry = Pbcm
formation energy from raw total energies = -54 kJ/mol of atoms
magnetic moment = 0.00 μB per cell

***

Compound: Pm5MgSb4
Source: the Alexandria database
Functional: GGA-PBE
Structure: optimized geometry

The structure in POSCAR format:
```
Pm5MgSb4
1.0
-0.1642 -4.4632 -4.5137
1.7010 -7.1718 2.5633
-6.9817 -3.3745 -0.8758
Pm Mg Sb
5 1 4
direct
0.8936 0.4225 0.7910
0.3161 0.7910 0.5775
0.6847 0.2090 0.4225
0.1072 0.5775 0.2090
0.5033 0.0000 0.0000
0.0037 0.0000 0.0000
0.3966 0.4011 0.8066
0.7977 0.8066 0.5989
0.2031 0.1934 0.4011
0.6043 0.5989 0.1934
```

Summary:
symmetry = I4
formation energy from raw total energies = -84 kJ/mol of atoms
magnetic moment = 0.66 μB per cell

***

Compound: Pm3MgSb2
Source: the Alexandria database
Functional: GGA-PBE
Structure: optimized geometry

The structure in POSCAR format:
```
Pm3MgSb2
1.0
6.3259 0.0000 0.0000
0.0000 9.0014 0.0015
-3.1630 -2.2514 6.8429
Pm Mg Sb
6 2 4
direct
0.5021 0.2500 0.0000
0.4979 0.7500 0.0000
0.1853 0.0928 0.3710
0.8144 0.4072 0.6290
0.1856 0.5928 0.3710
0.8147 0.9072 0.6290
0.9975 0.7500 0.0000
0.0025 0.2500 0.0000
0.6604 0.5802 0.3206
0.6601 0.0802 0.3206
0.3399 0.9198 0.6794
0.3396 0.4198 0.6794
```

Summary:
symmetry = C2/c
formation energy from raw total energies = -64 kJ/mol of atoms
magnetic moment = 0.00 μB per cell

***

Compound: PmMg3Sb3
Source: the Alexandria database
Functional: GGA-PBE
Structure: optimized geometry

The structure in POSCAR format:
```
PmMg3Sb3
1.0
-4.6322 5.9057 -3.1914
-6.5022 -1.9186 -4.5343
-7.9429 1.2965 3.5064
Pm Mg Sb
2 6 6
direct
0.3338 0.3338 0.9985
0.6662 0.6662 0.0015
0.4435 0.7940 0.6368
0.7940 0.1257 0.6368
0.1257 0.4435 0.6368
0.8743 0.5565 0.3632
0.2060 0.8743 0.3632
0.5565 0.2060 0.3632
0.2592 0.5779 0.2396
0.9232 0.2592 0.2396
0.5779 0.9232 0.2396
0.4221 0.0768 0.7604
0.0768 0.7408 0.7604
0.7408 0.4221 0.7604
```

Summary:
symmetry = R-3
formation energy from raw total energies = -57 kJ/mol of atoms
magnetic moment = 0.00 μB per cell

***

Compound: Pm3MgSb
Source: the Alexandria database
Functional: GGA-PBE
Structure: optimized geometry

The structure in POSCAR format:
```
Pm3MgSb
1.0
4.6401 0.0000 0.0000
0.0000 9.3235 0.0000
0.0000 -4.6618 7.2244
Pm Mg Sb
6 2 2
direct
0.7500 0.0770 0.8023
0.7500 0.6098 0.2821
0.7500 0.0239 0.2820
0.2500 0.3277 0.7179
0.2500 0.2747 0.1977
0.2500 0.7419 0.7180
0.2500 0.7254 0.0991
0.7500 0.6263 0.9009
0.2500 0.9190 0.4864
0.7500 0.4326 0.5136
```

Summary:
symmetry = Cmcm
formation energy from raw total energies = -34 kJ/mol of atoms
magnetic moment = 0.00 μB per cell

***

Compound: PmMg4Sb
Source: the Alexandria database
Functional: GGA-PBE
Structure: optimized geometry

The structure in POSCAR format:
```
PmMg4Sb
1.0
5.9921 0.0000 0.0000
2.9961 5.1893 0.0000
2.9961 1.7298 4.8925
Sb Mg Pm
1 4 1
direct
0.0000 0.0000 0.0000
0.6250 0.6250 0.1251
0.6250 0.1251 0.6250
0.6250 0.6250 0.6250
0.1251 0.6250 0.6250
0.2500 0.2500 0.2500
```

Summary:
symmetry = F-43m
formation energy from raw total energies = -5 kJ/mol of atoms
magnetic moment = 0.00 μB per cell

***

Compound: Pm5Mg3Sb12
Source: the Alexandria database
Functional: GGA-PBE
Structure: optimized geometry

The structure in POSCAR format:
```
Pm5Mg3Sb12
1.0
15.5641 0.0000 0.0000
-5.1880 14.6740 0.0000
-5.1880 -7.3370 12.7081
Mg Pm Sb
12 20 48
direct
0.7500 0.3750 0.1250
0.8750 0.7500 0.1250
0.3750 0.7500 0.6250
0.2500 0.1250 0.3750
0.8750 0.1250 0.2500
0.3750 0.6250 0.2500
0.6250 0.3750 0.7500
0.1250 0.8750 0.7500
0.7500 0.8750 0.6250
0.6250 0.2500 0.3750
0.1250 0.2500 0.8750
0.2500 0.6250 0.8750
0.1250 0.3750 0.2500
0.0000 0.5000 0.0000
0.0000 0.0000 0.0000
0.3750 0.2500 0.1250
0.5000 0.0000 0.5000
0.5000 0.5000 0.0000
0.1250 0.7500 0.3750
0.7500 0.1250 0.8750
0.7500 0.6250 0.3750
0.3750 0.1250 0.7500
0.6250 0.8750 0.2500
0.5000 0.5000 0.5000
0.5000 0.0000 0.0000
0.0000 0.0000 0.5000
0.2500 0.3750 0.6250
0.2500 0.8750 0.1250
0.0000 0.5000 0.5000
0.8750 0.2500 0.6250
0.6250 0.7500 0.8750
0.8750 0.6250 0.7500
0.7435 0.1095 0.0655
0.3221 0.5655 0.4560
0.9345 0.3905 0.2565
0.5655 0.2435 0.1095
0.6339 0.7435 0.6779
0.9345 0.5440 0.1779
0.3221 0.7565 0.3661
0.0440 0.8661 0.1095
0.5440 0.9345 0.6779
0.7435 0.6339 0.1779
0.7565 0.4345 0.3905
0.8221 0.9560 0.0655
0.1095 0.7435 0.5655
0.3905 0.4560 0.1339
0.1339 0.9560 0.3905
0.3661 0.1095 0.5440
0.1339 0.1779 0.2435
0.4345 0.6779 0.0440
0.8221 0.8661 0.2565
0.1095 0.3661 0.0440
0.3905 0.9345 0.7565
0.5440 0.6095 0.3661
0.9560 0.8221 0.5655
0.7565 0.3221 0.8661
0.4560 0.3905 0.6339
0.0440 0.1779 0.4345
0.2435 0.6779 0.1339
0.1779 0.1339 0.7435
0.6095 0.0655 0.2435
0.8905 0.6339 0.9560
0.5655 0.3221 0.9560
0.6339 0.8905 0.4560
0.8661 0.8221 0.7565
0.8661 0.0440 0.6095
0.8905 0.2565 0.4345
0.1779 0.0440 0.9345
0.6095 0.5440 0.8661
0.4560 0.0655 0.3221
0.2565 0.3661 0.8221
0.2435 0.5655 0.6095
0.9560 0.1339 0.8905
0.6779 0.2435 0.6339
0.4345 0.7565 0.8905
0.0655 0.4560 0.8221
0.3661 0.2565 0.3221
0.0655 0.6095 0.7435
0.6779 0.4345 0.5440
0.2565 0.8905 0.9345
```

Summary:
symmetry = Ia-3d
formation energy from raw total energies = -21 kJ/mol of atoms
magnetic moment = 0.00 μB per cell

***

Compound: PmMgSb
Source: the Alexandria database
Functional: GGA-PBE
Structure: optimized geometry

The structure in POSCAR format:
```
PmMgSb
1.0
4.1931 0.0000 0.0000
0.0000 4.1931 0.0000
-2.0965 -2.0965 4.7330
Sb Mg Pm
1 1 1
direct
0.2777 0.2777 0.5554
0.9519 0.9519 0.9039
0.6203 0.6203 0.2407
```

Summary:
symmetry = I4mm
polymorph energy (0 for the lowest one) = 22.01 kJ/mol of atoms
formation energy from raw total energies = -38 kJ/mol of atoms
magnetic moment = 0.00 μB per cell

***

Compound: PmMgSnSb
Source: the Alexandria database
Functional: GGA-PBE
Structure: optimized geometry

The structure in POSCAR format:
```
PmMgSnSb
1.0
-0.6560 -3.7958 3.7029
4.1547 -2.9966 1.5193
2.1065 0.6263 4.8703
Sb Mg Sn Pm
1 1 1 1
direct
0.2500 0.2500 0.2500
0.0000 0.0000 0.0000
0.7500 0.7500 0.7500
0.5000 0.5000 0.5000
```

Summary:
symmetry = F-43m
formation energy from raw total energies = -36 kJ/mol of atoms
magnetic moment = 0.00 μB per cell

***

Compound: PmMgTcSb
Source: the Alexandria database
Functional: GGA-PBE
Structure: optimized geometry

The structure in POSCAR format:
```
PmMgTcSb
1.0
-4.2778 0.7430 2.2111
-3.7502 -2.9821 -0.8850
-1.5274 -3.0834 3.4496
Sb Mg Tc Pm
1 1 1 1
direct
0.7500 0.7500 0.7500
0.0000 0.0000 0.0000
0.5000 0.5000 0.5000
0.2500 0.2500 0.2500
```

Summary:
symmetry = F-43m
formation energy from raw total energies = -3 kJ/mol of atoms
magnetic moment = 0.00 μB per cell

***

Compound: PmMgSbTe
Source: the Alexandria database
Functional: GGA-PBE
Structure: optimized geometry

The structure in POSCAR format:
```
PmMgSbTe
1.0
-1.3679 3.1360 3.1487
-4.2551 1.8560 -0.2639
-7.1738 -9.2653 9.5446
Pm Mg Sb Te
2 2 2 2
direct
0.5893 0.5893 0.2320
0.4107 0.4107 0.7680
0.8109 0.8109 0.5672
0.1891 0.1891 0.4328
0.1232 0.1232 0.6305
0.8768 0.8768 0.3695
0.7105 0.7105 0.8685
0.2895 0.2895 0.1315
```

Summary:
symmetry = R-3m
formation energy from raw total energies = -87 kJ/mol of atoms
magnetic moment = 0.00 μB per cell